[1]
Li4YHo3Te8: relaxed, PBE.

As for the crystal system: trigonal. The value obtained for the magnetization is 0.000 μB per formula unit. For the total energy, the calculation gives -73.65 eV for the cell shown.

Cell lengths 8.667, 8.651, 8.665 Å; angles 120.08, 120.00, 90.00 degrees
Fractional coordinates of all 16 atoms:
Ho 0.500 0.500 0.500
Ho 0.000 0.500 0.500
Ho 0.500 0.500 0.000
Li 0.000 0.000 0.000
Li 0.500 0.000 0.000
Li 0.500 0.000 0.500
Li 0.000 0.000 0.500
Te 0.748 0.245 0.496
Te 0.751 0.754 0.503
Te 0.748 0.245 0.997
Te 0.249 0.245 0.997
Te 0.252 0.755 0.504
Te 0.252 0.755 0.003
Te 0.751 0.755 0.003
Te 0.249 0.246 0.497
Y 0.000 0.500 0.000

[2]
LiY2HoTe4: relaxed, PBE.

As for the crystal system: monoclinic. The value obtained for the magnetization is 0.000 μB per formula unit. For the total energy, the calculation gives -42.52 eV for the cell shown.

Cell lengths 4.313, 7.508, 7.521 Å; angles 109.17, 90.00, 90.00 degrees
Fractional coordinates of all 8 atoms:
Y 0.000 0.500 0.500
Y 0.500 0.000 0.500
Te 0.500 0.758 0.759
Te 0.500 0.242 0.241
Te 0.000 0.246 0.757
Te 0.000 0.754 0.243
Li 0.000 0.000 0.000
Ho 0.500 0.500 0.000

[3]
LiY3Ho2Te6: relaxed, PBE.

As for the crystal system: monoclinic. The value obtained for the magnetization is 0.000 μB per formula unit. For the total energy, the calculation gives -65.01 eV for the cell shown.

Cell lengths 4.334, 8.676, 9.704 Å; angles 103.03, 102.90, 90.00 degrees
Fractional coordinates of all 12 atoms:
Li 0.500 0.000 0.000
Te 0.338 0.918 0.677
Te 0.334 0.418 0.668
Te 0.001 0.241 0.001
Te 0.666 0.582 0.332
Te 0.999 0.759 0.999
Te 0.662 0.082 0.323
Y 0.169 0.830 0.337
Y 0.500 0.500 0.000
Y 0.831 0.170 0.663
Ho 0.831 0.661 0.663
Ho 0.169 0.339 0.337